[1]
Density functional theory data (GGA+U) for a geometry-optimized BaYZn3CoO7 structure.

**DOS at the Fermi energy**: 11.4 states/eV per cell
**E_tot**: -154.2 eV per cell

abc: 6.4167 6.4167 10.4435
angles: 90.00 90.00 120.00
Last column: nearest neighbours and their distance in Å.
Fractional positions:
O 0.4922 0.5078 0.2672  2 Zn 1.95
O 0.6798 0.8399 0.0095  1 Co 1.88, 1 Zn 2.02
O 0.9844 0.4922 0.7672  2 Zn 1.95
O 0.1601 0.3202 0.0095  1 Co 1.88, 1 Zn 2.02
O 0.4922 0.9844 0.2672  2 Zn 1.95
O 0.0156 0.5078 0.2672  2 Zn 1.95
O 0.5078 0.4922 0.7672  2 Zn 1.95
O 0.1601 0.8399 0.0095  1 Co 1.88, 1 Zn 2.02
O 0.0000 0.0000 0.7497  1 Co 1.91, 3 Zn 2.02
O 0.8399 0.6798 0.5095  1 Co 1.88, 1 Zn 2.02
O 0.3202 0.1601 0.5095  1 Co 1.88, 1 Zn 2.02
O 0.8399 0.1601 0.5095  1 Co 1.88, 1 Zn 2.02
O 0.5078 0.0156 0.7672  2 Zn 1.95
O 0.0000 0.0000 0.2497  1 Co 1.91, 3 Zn 2.02
Zn 0.1703 0.8297 0.8168  4 O 1.95-2.02
Zn 0.8297 0.6594 0.3168  4 O 1.95-2.02
Zn 0.1703 0.3406 0.8168  4 O 1.95-2.02
Zn 0.6594 0.8297 0.8168  4 O 1.95-2.02
Zn 0.8297 0.1703 0.3168  4 O 1.95-2.02
Zn 0.3406 0.1703 0.3168  4 O 1.95-2.02
Y 0.6667 0.3333 0.6320  6 O 2.26-2.31
Y 0.3333 0.6667 0.1320  6 O 2.26-2.31
Ba 0.3333 0.6667 0.4803  3 O 2.84
Ba 0.6667 0.3333 0.9803  3 O 2.84
Co 0.0000 0.0000 0.5666  4 O 1.88-1.91
Co 0.0000 0.0000 0.0666  4 O 1.88-1.91


[2]
Density functional theory data (GGA+U) for a geometry-optimized BaYbCo4O7 structure.

**DOS at the Fermi energy**: 36.4 states/eV per cell
**E_tot**: -158.7 eV per cell

abc: 6.3992 6.3992 10.3843
angles: 90.00 90.00 120.00
Last column: nearest neighbours and their distance in Å.
Fractional positions:
Co 0.0000 0.0000 0.9412  4 O 1.87-2.07
Co 0.8488 0.6624 0.1822  4 O 1.93-1.98
Co 0.1512 0.8135 0.6822  4 O 1.93-1.98
Co 0.8135 0.1512 0.1822  4 O 1.93-1.98
Co 0.3376 0.1865 0.1822  4 O 1.93-1.98
Co 0.6624 0.8488 0.6822  4 O 1.93-1.98
Co 0.1865 0.3376 0.6822  4 O 1.93-1.98
Co 0.0000 0.0000 0.4412  4 O 1.87-2.07
O 0.0127 0.4884 0.7485  2 Co 1.93
O 0.4884 0.0127 0.2485  2 Co 1.93
O 0.9873 0.4757 0.2485  2 Co 1.93
O 0.3162 0.2137 0.9942  2 Co 1.87-1.97
O 0.0000 0.0000 0.2423  4 Co 1.98-2.07
O 0.5116 0.5243 0.7485  2 Co 1.93
O 0.1024 0.7863 0.4942  2 Co 1.87-1.97
O 0.2137 0.3162 0.4942  2 Co 1.87-1.97
O 0.5243 0.5116 0.2485  2 Co 1.93
O 0.7863 0.1024 0.9942  2 Co 1.87-1.97
O 0.8976 0.6838 0.9942  2 Co 1.87-1.97
O 0.6838 0.8976 0.4942  2 Co 1.87-1.97
O 0.0000 0.0000 0.7423  4 Co 1.98-2.07
O 0.4757 0.9873 0.7485  2 Co 1.93
Yb 0.6667 0.3333 0.8651  6 O 2.27-2.39
Yb 0.3333 0.6667 0.3651  6 O 2.27-2.39
Ba 0.6667 0.3333 0.4772  6 O 2.85-2.97
Ba 0.3333 0.6667 0.9772  6 O 2.85-2.97


[3]
Density functional theory data (GGA+U) for a geometry-optimized Ba3Zn2CoO6 structure.

**DOS at the Fermi energy**: 2.2 states/eV per cell
**E_tot**: -63.2 eV per cell

abc: 5.9791 5.9791 6.7998
angles: 90.00 90.00 120.00
Last column: nearest neighbours and their distance in Å.
Fractional positions:
Zn 0.3333 0.6667 0.2088  3 O 1.92
Zn 0.6667 0.3333 0.7912  3 O 1.92
O 0.1614 0.3228 0.3164  1 Zn 1.92, 1 Co 2.09
O 0.8386 0.1614 0.6836  1 Zn 1.92, 1 Co 2.09
O 0.1614 0.8386 0.3164  1 Zn 1.92, 1 Co 2.09
O 0.3228 0.1614 0.6836  1 Zn 1.92, 1 Co 2.09
O 0.6772 0.8386 0.3164  1 Zn 1.92, 1 Co 2.09
O 0.8386 0.6772 0.6836  1 Zn 1.92, 1 Co 2.09
Ba 0.3333 0.6667 0.6483  9 O 2.87-3.00, 1 Zn 2.99
Ba 0.6667 0.3333 0.3517  9 O 2.87-3.00, 1 Zn 2.99
Ba 0.0000 0.0000 0.0000  6 O 2.72
Co 0.0000 0.0000 0.5000  6 O 2.09